(1)
Compound: ReTeBr4
Source: Alexandria via LeMat-Bulk
Functional: GGA-PBE
Structure: relaxed

```
data_ReTeBr4
_chemical_formula_sum 'Re4 Te4 Br16'
_cell_length_a 8.782
_cell_length_b 8.782
_cell_length_c 8.782
_cell_angle_alpha 90.00
_cell_angle_beta 90.00
_cell_angle_gamma 90.00
_symmetry_space_group_name_H-M 'F -4 3 m'
_symmetry_Int_Tables_number 216
_symmetry_space_group_name_Hall 'F -4 2 3'
loop_
_atom_site_label
_atom_site_type_symbol
_atom_site_fract_x
_atom_site_fract_y
_atom_site_fract_z
_atom_site_occupancy
Re1 Re 0.000 0.000 0.000 1
Te1 Te 0.250 0.250 0.750 1
Br1 Br 0.125 0.125 0.375 1
```

Summary:
Energy, eV per atom: -2.25
E_form (uncorrected), eV per atom: 1.467



(2)
Compound: ZrScTcRu
Source: Alexandria via LeMat-Bulk
Functional: GGA-PBE
Structure: relaxed

```
data_ZrScTcRu
_chemical_formula_sum 'Zr1 Sc1 Tc1 Ru1'
_cell_length_a 3.254
_cell_length_b 3.254
_cell_length_c 6.533
_cell_angle_alpha 90.00
_cell_angle_beta 90.00
_cell_angle_gamma 90.00
_symmetry_space_group_name_H-M 'P 4 m m'
_symmetry_Int_Tables_number 99
loop_
_symmetry_equiv_pos_as_xyz
'x,y,z'
'-y,x,z'
'-x,-y,z'
'y,-x,z'
'-x,y,z'
'y,x,z'
'x,-y,z'
'-y,-x,z'
loop_
_atom_site_label
_atom_site_type_symbol
_atom_site_fract_x
_atom_site_fract_y
_atom_site_fract_z
_atom_site_occupancy
Zr1 Zr 0.000 0.000 0.000 1
Sc1 Sc 0.000 0.000 0.502 1
Tc1 Tc 0.500 0.500 0.248 1
Ru1 Ru 0.500 0.500 0.752 1
```

Summary:
Energy of formation, eV/atom: -0.41
Energy, eV per atom: -9.04



(3)
Compound: KHf
Source: Alexandria via LeMat-Bulk
Functional: GGA-PBE
Structure: relaxed

```
data_KHf
_chemical_formula_sum 'K6 Hf6'
_cell_length_a 16.672
_cell_length_b 3.166
_cell_length_c 9.206
_cell_angle_alpha 90.00
_cell_angle_beta 90.00
_cell_angle_gamma 90.00
_symmetry_space_group_name_H-M 'P m n 21'
_symmetry_Int_Tables_number 31
loop_
_symmetry_equiv_pos_as_xyz
'x,y,z'
'-x+1/2,-y,z+1/2'
'-x,y,z'
'x+1/2,-y,z+1/2'
loop_
_atom_site_label
_atom_site_type_symbol
_atom_site_fract_x
_atom_site_fract_y
_atom_site_fract_z
_atom_site_occupancy
K1 K 0.000 0.020 0.000 1
K2 K 0.216 0.003 0.676 1
Hf1 Hf 0.000 0.015 0.578 1
Hf2 Hf 0.087 0.515 0.365 1
```

Summary:
Energy of formation, eV/atom: 0.77
Offset from the most stable computed form, meV per atom: 256
Energy, eV per atom: -4.76



(4)
Compound: Sm2HoGa2
Source: Alexandria via LeMat-Bulk
Functional: GGA-PBE
Structure: relaxed

```
data_Sm2HoGa2
_chemical_formula_sum 'Sm8 Ho4 Ga8'
_cell_length_a 11.991
_cell_length_b 4.694
_cell_length_c 10.873
_cell_angle_alpha 90.00
_cell_angle_beta 120.38
_cell_angle_gamma 90.00
_symmetry_space_group_name_H-M 'C 1 2/m 1'
_symmetry_Int_Tables_number 12
loop_
_symmetry_equiv_pos_as_xyz
'x,y,z'
'-x,-y,-z'
'-x,y,-z'
'x,-y,z'
'x+1/2,y+1/2,z'
'-x+1/2,-y+1/2,-z'
'-x+1/2,y+1/2,-z'
'x+1/2,-y+1/2,z'
loop_
_atom_site_label
_atom_site_type_symbol
_atom_site_fract_x
_atom_site_fract_y
_atom_site_fract_z
_atom_site_occupancy
Sm1 Sm 0.024 0.000 0.186 1
Sm2 Sm 0.189 0.000 0.599 1
Ho1 Ho 0.204 0.500 0.855 1
Ga1 Ga 0.046 0.500 0.413 1
Ga2 Ga 0.126 0.500 0.076 1
```

Summary:
Energy of formation, eV/atom: -0.47
Offset from the most stable computed form, meV per atom: 49
Energy, eV per atom: -4.48



(5)
Compound: ScMn6Al12
Source: Alexandria via LeMat-Bulk
Functional: GGA-PBE
Structure: relaxed

```
data_ScMn6Al12
_chemical_formula_sum 'Sc2 Mn12 Al24'
_cell_length_a 8.338
_cell_length_b 8.338
_cell_length_c 8.338
_cell_angle_alpha 90.00
_cell_angle_beta 90.00
_cell_angle_gamma 90.00
_symmetry_space_group_name_H-M 'I m -3'
_symmetry_Int_Tables_number 204
_symmetry_space_group_name_Hall '-I 2 2 3'
loop_
_atom_site_label
_atom_site_type_symbol
_atom_site_fract_x
_atom_site_fract_y
_atom_site_fract_z
_atom_site_occupancy
Sc1 Sc 0.000 0.000 0.000 1
Mn1 Mn 0.000 0.359 0.500 1
Al1 Al 0.000 0.185 0.273 1
```

Summary:
Energy of formation, eV/atom: -0.09
Energy, eV per atom: -5.68



(6)
Compound: BaSmP2Pd4
Source: Alexandria via LeMat-Bulk
Functional: GGA-PBE
Structure: relaxed

```
data_BaSmP2Pd4
_chemical_formula_sum 'Ba1 Sm1 P2 Pd4'
_cell_length_a 4.177
_cell_length_b 4.177
_cell_length_c 10.182
_cell_angle_alpha 90.00
_cell_angle_beta 90.00
_cell_angle_gamma 90.00
_symmetry_space_group_name_H-M 'P 4/m m m'
_symmetry_Int_Tables_number 123
_symmetry_space_group_name_Hall '-P 4 2'
loop_
_atom_site_label
_atom_site_type_symbol
_atom_site_fract_x
_atom_site_fract_y
_atom_site_fract_z
_atom_site_occupancy
Ba1 Ba 0.000 0.000 0.000 1
Sm1 Sm 0.000 0.000 0.500 1
P1 P 0.500 0.500 0.184 1
Pd1 Pd 0.000 0.500 0.293 1
```

Summary:
Energy of formation, eV/atom: -0.74
Energy, eV per atom: -5.52